## Cu2Sb2Se (PBE)

Data for crystalline Cu2Sb2Se at its relaxed geometry.

Computed properties:
Raw formation energy (eV/atom): 0.2212
Total magnetic moment (μB per atom): 0.00
Raw total energy (Ha/atom): -0.1383
D(E_F) (states/eV/cell): 5.2
Offset from the most stable computed form (meV per atom): 11

```
data_Cu2Sb2Se
_cell_length_a 7.9032
_cell_length_b 7.9032
_cell_length_c 3.3091
_cell_angle_alpha 90.00
_cell_angle_beta 90.00
_cell_angle_gamma 90.00
_space_group_name_H-M_alt 'P 4/m b m'
_space_group_IT_number 127
_space_group_name_Hall '-P 4 2ab'
loop_
_atom_site_label
_atom_site_type_symbol
_atom_site_fract_x
_atom_site_fract_y
_atom_site_fract_z
Cu1 Cu 0.1092 0.3908 0.0000
Sb1 Sb 0.1914 0.6914 0.5000
Se1 Se 0.0000 0.0000 0.5000
```

## CuSb2Se (PBE)

Data for crystalline CuSb2Se at its relaxed geometry.

Computed properties:
Raw formation energy (eV/atom): 0.1620
Total magnetic moment (μB per atom): 0.00
Raw total energy (Ha/atom): -0.1394
D(E_F) (states/eV/cell): 11.7

```
data_CuSb2Se
_cell_length_a 6.1137
_cell_length_b 6.1137
_cell_length_c 12.5416
_cell_angle_alpha 90.00
_cell_angle_beta 90.00
_cell_angle_gamma 90.00
_space_group_name_H-M_alt 'I -4 2 d'
_space_group_IT_number 122
_space_group_name_Hall 'I -4 2bw'
loop_
_atom_site_label
_atom_site_type_symbol
_atom_site_fract_x
_atom_site_fract_y
_atom_site_fract_z
Cu1 Cu 0.0000 0.0000 0.0000
Sb1 Sb 0.2011 0.2500 0.1250
Se1 Se 0.0000 0.0000 0.5000
```

## Cu3SbSe (PBE)

Data for crystalline Cu3SbSe at its relaxed geometry.

Computed properties:
Raw formation energy (eV/atom): 0.7271
Total magnetic moment (μB per atom): 0.00
Raw total energy (Ha/atom): -0.1195
D(E_F) (states/eV/cell): 5.8
Offset from the most stable computed form (meV per atom): 260

```
data_Cu3SbSe
_cell_length_a 4.8583
_cell_length_b 4.8583
_cell_length_c 4.8583
_cell_angle_alpha 90.00
_cell_angle_beta 90.00
_cell_angle_gamma 90.00
_space_group_name_H-M_alt 'P m -3 m'
_space_group_IT_number 221
_space_group_name_Hall '-P 4 2 3'
loop_
_atom_site_label
_atom_site_type_symbol
_atom_site_fract_x
_atom_site_fract_y
_atom_site_fract_z
Cu1 Cu 0.0000 0.0000 0.5000
Sb1 Sb 0.0000 0.0000 0.0000
Se1 Se 0.5000 0.5000 0.5000
```